! Ac2NdBi3 | the Alexandria database | GGA-PBE | relaxed; values from VASP
&SYSTEM
  ibrav = 0, nat = 24, ntyp = 3
/
ATOMIC_SPECIES
Nd 144.24 Nd.upf
Bi 208.98 Bi.upf
Ac 227.00 Ac.upf
ATOMIC_POSITIONS crystal
Nd 0.3336 0.8336 0.6671
Bi 0.4041 0.4140 0.3295
Ac 0.9988 0.4988 0.9975
Bi 0.7612 0.7611 0.0000
Nd 0.1664 0.6664 0.3329
Bi 0.3246 0.8345 0.1705
Ac 0.6676 0.1676 0.3352
Ac 0.8324 0.3324 0.6648
Bi 0.4889 0.9889 0.5000
Bi 0.9254 0.9155 0.3295
Ac 0.2512 0.2512 0.5025
Ac 0.5824 0.5824 0.1648
Bi 0.0111 0.5111 0.5000
Ac 0.4176 0.4176 0.8352
Bi 0.8459 0.3360 0.1705
Bi 0.0845 0.0746 0.6705
Ac 0.5012 0.0012 0.0025
Bi 0.6640 0.1541 0.8295
Bi 0.2388 0.2388 0.0000
Nd 0.9164 0.9164 0.8329
Nd 0.0836 0.0836 0.1671
Bi 0.5860 0.5959 0.6705
Ac 0.7488 0.7488 0.4975
Bi 0.1655 0.6754 0.8295
CELL_PARAMETERS angstrom
8.1629 0.0330 -1.5099
-3.1271 7.5407 -1.5099
-0.0103 -0.0160 15.1489
! * formation enthalpy at 0 K: -94.1 kJ per mole of atoms
! * DOS at the Fermi energy: 0.80 states/eV/f.u.
! * magnetization: 0.0 μB/f.u.
! * space-group type: Fddd (70)


! InSn3Sb | the Alexandria database | GGA-PBE | relaxed; values from VASP
&SYSTEM
  ibrav = 0, nat = 5, ntyp = 3
/
ATOMIC_SPECIES
Sn 118.71 Sn.upf
In 114.82 In.upf
Sb 121.76 Sb.upf
ATOMIC_POSITIONS crystal
Sn 0.0000 0.0000 0.5000
Sn 0.0000 0.5000 0.0000
In 0.0000 0.0000 0.0000
Sb 0.5000 0.5000 0.5000
Sn 0.5000 0.0000 0.0000
CELL_PARAMETERS angstrom
5.5781 0.0000 0.0000
0.0000 5.5781 0.0000
0.0000 0.0000 5.5781
! * formation energy from raw total energies: 0.59 eV/atom
! * DOS at the Fermi energy: 2.77 states/eV/f.u.
! * magnetization: 0.0 μB/f.u.
! * space-group type: Pm-3m (221)


! PmScH2 | the Alexandria database | GGA-PBE | relaxed; values from VASP
&SYSTEM
  ibrav = 0, nat = 4, ntyp = 3
/
ATOMIC_SPECIES
Sc 44.96 Sc.upf
H 1.01 H.upf
Pm 145.00 Pm.upf
ATOMIC_POSITIONS crystal
Sc 0.6692 0.6692 0.9924
H 0.0642 0.0642 0.8075
Pm 0.4910 0.4910 0.5269
H 0.2756 0.2756 0.1732
CELL_PARAMETERS angstrom
3.3821 0.0000 0.0000
1.6910 2.9290 0.0000
1.6910 0.9763 5.7720
! * total DFT energy (no corrections): -18.88 eV per cell
! * DOS at the Fermi energy: 2.31 states/eV/f.u.
! * magnetization: 0.0 μB/f.u.
! * space-group type: R3m (160)


! CoCuSnRh | the Alexandria database | GGA-PBE | relaxed; values from VASP
&SYSTEM
  ibrav = 0, nat = 4, ntyp = 4
/
ATOMIC_SPECIES
Co 58.93 Co.upf
Rh 102.91 Rh.upf
Sn 118.71 Sn.upf
Cu 63.55 Cu.upf
ATOMIC_POSITIONS crystal
Co 0.0000 0.0000 0.0000
Rh 0.5000 0.5000 0.5000
Sn 0.2500 0.2500 0.2500
Cu 0.7500 0.7500 0.7500
CELL_PARAMETERS angstrom
-0.1151 -4.3146 -0.0722
0.7384 -2.1175 -3.6886
3.6503 -2.2484 -0.5046
! * formation enthalpy at 0 K: -11.2 kJ per mole of atoms
! * DOS at the Fermi energy: 2.49 states/eV/f.u.
! * magnetization: 0.0 μB/f.u.
! * space-group type: F-43m (216)


The lowest DOS at the Fermi energy belongs to which entry?
Ac2NdBi3


Number 4 is which compound?
CoCuSnRh


What is the formula in the first record?
Ac2NdBi3